Density functional theory data (SCAN) for a crystal of HgIrRu2 relaxed with PBEsol.

Values from the calculation:
electronic total energy	-207.58	eV/cell
DFT formation energy	0.334	eV/atom

Cell lengths 2.7566, 2.7566, 9.2424 Å; angles 81.42, 81.42, 60.00 degrees
With the nearest neighbours (Å) after each atom.
Atoms (fractional coordinates):
Ir 0.2563 0.2563 0.2310  3 Ru 2.68, 6 Ir 2.76, 3 Hg 2.94
Ru 0.7429 0.7429 0.7713  9 Ru 2.58-2.76
Ru 0.0018 0.0018 0.9947  9 Ru 2.58-2.76, 3 Ir 2.68
Hg 0.4990 0.4990 0.5031  6 Hg 2.76, 3 Ru 2.91, 3 Ir 2.94